Computed, not measured: a relaxed Co2GeB crystal at the GGA-PBE level of DFT.

Summary:
Formation enthalpy at 0 K ... 0.174 eV per atom
V ... 40 Å³ per cell
Uncorrected energy ... -6.20 eV per atom
Fermi-level density of states ... 1.44 states/eV per cell
Symmetry ... No. 225
M_tot ... 1.08 μB per formula unit
Relative energy among the computed polymorphs ... 253.6 meV per atom

Cell lengths 3.8508, 3.8508, 3.8508 Å; angles 60.00, 60.00, 60.00 degrees
Positions (direct):
Ge 0.5000 0.5000 0.5000
B 0.0000 0.0000 0.0000
Co 0.2500 0.2500 0.2500
Co 0.7500 0.7500 0.7500